Here is a relaxed structure of BaMgCd2Ag from Alexandria. Energies are from GGA-PBE.

Cell: 4.6235 4.7174 12.9579 Å, 90.00 90.00 90.00°
Space group Imm2 (No. 44)
Asymmetric unit:
1 Ba 0.0000 0.0000 0.0000 (multiplicity 2)
2 Mg 0.0000 0.5000 0.7581 (multiplicity 2)
3 Cd 0.0000 0.0000 0.6149 (multiplicity 2)
4 Cd 0.0000 0.5000 0.2588 (multiplicity 2)
5 Ag 0.0000 0.0000 0.3904 (multiplicity 2)

Properties
Total magnetization: 0.00 μB per cell
Final energy: -1.886 eV per atom
Energy relative to the elements: -0.25 eV per atom
Offset from the most stable computed form: 0.0 kJ per mole of atoms

=====

Here is a relaxed structure of BaMgCdAg3 from Alexandria. Energies are from GGA-PBE.

Cell: 6.9362 14.0220 6.4193 Å, 90.00 90.00 90.00°
Space group Cmcm (No. 63)
Asymmetric unit:
1 Ba 0.0000 0.2078 0.2500 (multiplicity 4)
2 Mg 0.0000 0.4494 0.2500 (multiplicity 4)
3 Cd 0.0000 0.1416 0.7500 (multiplicity 4)
4 Ag 0.0000 0.3521 0.7500 (multiplicity 4)
5 Ag 0.2035 0.0000 0.0000 (multiplicity 8)

Properties
Total magnetization: 0.00 μB per cell
Final energy: -2.261 eV per atom
Energy relative to the elements: -0.10 eV per atom

=====

Here is a relaxed structure of Ba2Mg12CdAg3 from Alexandria. Energies are from GGA-PBE.

Cell: 9.9805 9.9805 19.8783 Å, 90.00 90.00 120.00°
Space group R-3m (No. 166, hexagonal axes)
Asymmetric unit:
1 Ba 0.0000 0.0000 0.1010 (multiplicity 6)
2 Mg 0.0079 0.5039 0.1319 (multiplicity 18)
3 Mg 0.0492 0.5246 0.3162 (multiplicity 18)
4 Cd 0.0000 0.0000 0.5000 (multiplicity 3)
5 Ag 0.0000 0.5000 0.0000 (multiplicity 9)

Properties
Total magnetization: 0.00 μB per cell
Final energy: -1.628 eV per atom
Energy relative to the elements: 0.17 eV per atom

=====

Here is a relaxed structure of Ba2Mg6CdAg from Alexandria. Energies are from GGA-PBE.

Cell: 7.5947 7.5947 10.7267 Å, 90.00 90.00 90.00°
Space group I4/mmm (No. 139)
Asymmetric unit:
1 Ba 0.0000 0.5000 0.2500 (multiplicity 4)
2 Mg 0.0000 0.0000 0.2441 (multiplicity 4)
3 Mg 0.2441 0.2441 0.0000 (multiplicity 8)
4 Cd 0.0000 0.0000 0.5000 (multiplicity 2)
5 Ag 0.0000 0.0000 0.0000 (multiplicity 2)

Properties
Total magnetization: 0.85 μB per cell
Final energy: -1.750 eV per atom
Energy relative to the elements: -0.03 eV per atom

=====

Here is a relaxed structure of BaMgCdAg from Alexandria. Energies are from GGA-PBE.

Cell: 7.7338 7.7338 7.7338 Å, 90.00 90.00 90.00°
Space group F-43m (No. 216)
Asymmetric unit:
1 Ba 0.0000 0.0000 0.0000 (multiplicity 4)
2 Mg 0.0000 0.0000 0.5000 (multiplicity 4)
3 Cd 0.2500 0.2500 0.7500 (multiplicity 4)
4 Ag 0.2500 0.2500 0.2500 (multiplicity 4)

Properties
Total magnetization: 0.01 μB per cell
Final energy: -1.953 eV per atom
Energy relative to the elements: -0.13 eV per atom
Offset from the most stable computed form: 10.4 kJ per mole of atoms

=====

Here is a relaxed structure of BaMgCdAg2 from Alexandria. Energies are from GGA-PBE.

Cell: 4.6167 4.6167 12.7037 Å, 90.00 90.00 90.00°
Space group I-4m2 (No. 119)
Asymmetric unit:
1 Ba 0.0000 0.0000 0.0000 (multiplicity 2)
2 Mg 0.0000 0.5000 0.2500 (multiplicity 2)
3 Cd 0.0000 0.5000 0.7500 (multiplicity 2)
4 Ag 0.0000 0.0000 0.3869 (multiplicity 4)

Properties
Total magnetization: 0.00 μB per cell
Final energy: -2.267 eV per atom
Energy relative to the elements: -0.24 eV per atom

=====

Please write out number 3 again, unchanged.
Here is a relaxed structure of Ba2Mg12CdAg3 from Alexandria. Energies are from GGA-PBE.

Cell: 9.9805 9.9805 19.8783 Å, 90.00 90.00 120.00°
Space group R-3m (No. 166, hexagonal axes)
Asymmetric unit:
1 Ba 0.0000 0.0000 0.1010 (multiplicity 6)
2 Mg 0.0079 0.5039 0.1319 (multiplicity 18)
3 Mg 0.0492 0.5246 0.3162 (multiplicity 18)
4 Cd 0.0000 0.0000 0.5000 (multiplicity 3)
5 Ag 0.0000 0.5000 0.0000 (multiplicity 9)

Properties
Total magnetization: 0.00 μB per cell
Final energy: -1.628 eV per atom
Energy relative to the elements: 0.17 eV per atom

=====

Question: The lowest energy relative to the elements belongs to which entry?
Answer: BaMgCd2Ag